# 1
This record from the Alexandria database describes an optimized crystal structure of DyY4Sc5. The functional is PBE.

The structure belongs to space group I4mm (No. 107); the cell edges are 10.189, 10.189 and 5.621 Å and the angles 90.00°, 90.00° and 90.00°. The asymmetric unit holds Dy at (0.000, 0.000, 0.000), Y at (0.000, 0.319, 0.248), Sc at (0.000, 0.000, 0.480) and Sc at (0.189, 0.189, 0.729).

For the formation energy, the calculation gives 0.231 eV per atom.

# 2
This record from the Alexandria database describes an optimized crystal structure of PaMn2Se4. The functional is PBE.

The structure belongs to space group P4_122 (No. 91); the cell edges are 7.933, 7.933 and 11.316 Å and the angles 90.00°, 90.00° and 90.00°. The asymmetric unit holds Pa at (0.000, 0.275, 0.000), Mn at (0.251, 0.251, 0.375), Mn at (0.260, 0.500, 0.750), Se at (0.016, 0.255, 0.748) and Se at (0.268, 0.495, 0.512).

The value obtained for the formation energy without anion corrections is -791 meV/atom.